(1)
First-principles (meta-GGA SCAN) data for a PBEsol-optimized structure of TaBOF2, as listed in the Alexandria database.

abc: 2.6032 4.5550 4.5550
angles: 90.00 90.00 90.00
Closest atoms and distances in Å follow each position.
Sites, in units of the cell vectors:
F1 0.0000 0.0000 0.5000  2 B 2.28
Ta1 0.5000 0.5000 0.5000  2 Ta 2.60, 8 F 2.62
F2 0.0000 0.5000 0.0000  2 B 2.28
B1 0.0000 0.0000 0.0000  2 O 1.30
O1 0.5000 0.0000 0.0000  2 B 1.30

N(E_F) = 1.91 states/eV per cell
Theoretical density = 7.6 g cm⁻³
Raw total energy = -18.28 eV per atom
E_form (uncorrected) = -4.09 eV/f.u.



(2)
First-principles (meta-GGA SCAN) data for a PBEsol-optimized structure of Ta2BOF, as listed in the Alexandria database.

abc: 3.1168 4.5122 4.5122
angles: 90.00 90.00 90.00
Closest atoms and distances in Å follow each position.
Sites, in units of the cell vectors:
Ta1 0.0000 0.5000 0.0000  2 B 2.26
B1 0.0000 0.0000 0.0000  2 O 1.56
Ta2 0.0000 0.0000 0.5000  2 B 2.26
O1 0.5000 0.0000 0.0000  2 B 1.56
F1 0.5000 0.5000 0.5000  8 Ta 2.74

N(E_F) = 4.00 states/eV per cell
Theoretical density = 10.7 g cm⁻³
Raw total energy = -29.65 eV per atom
E_form (uncorrected) = 2.11 eV/f.u.



(3)
First-principles (meta-GGA SCAN) data for a PBEsol-optimized structure of TcBOF2, as listed in the Alexandria database.

abc: 3.6901 4.0965 4.0965
angles: 90.00 90.00 90.00
Closest atoms and distances in Å follow each position.
Sites, in units of the cell vectors:
O1 0.5000 0.0000 0.0000  2 Tc 1.85
F1 0.0000 0.5000 0.0000  2 Tc 2.05
B1 0.5000 0.5000 0.5000  8 F 2.76, 4 O 2.90
F2 0.0000 0.0000 0.5000  2 Tc 2.05
Tc1 0.0000 0.0000 0.0000  2 O 1.85, 4 F 2.05

N(E_F) = 3.08 states/eV per cell
Theoretical density = 4.4 g cm⁻³
Raw total energy = -11.57 eV per atom
E_form (uncorrected) = -2.07 eV/f.u.



(4)
First-principles (meta-GGA SCAN) data for a PBEsol-optimized structure of BTe3O3F15, as listed in the Alexandria database.

abc: 9.2534 9.2534 9.2036
angles: 90.00 90.00 120.00
Closest atoms and distances in Å follow each position.
Sites, in units of the cell vectors:
F1 0.8880 0.6896 0.8944  1 Te 1.86
F2 0.3104 0.1984 0.8944  1 Te 1.86
F3 0.8366 0.1334 0.2500  1 Te 1.85
F4 0.3104 0.1984 0.6056  1 Te 1.86
F5 0.5154 0.1182 0.3908  1 Te 1.86
O1 0.4273 0.8381 0.2500  1 B 1.38
F6 0.6028 0.4846 0.3908  1 Te 1.86
F7 0.1182 0.6028 0.6092  1 Te 1.86
O2 0.5892 0.4273 0.7500  1 B 1.38
Te1 0.3560 0.9994 0.2500  5 F 1.85-1.86, 1 O 1.91
F8 0.8818 0.3972 0.1092  1 Te 1.86
F9 0.6896 0.8016 0.3944  1 Te 1.86
F10 0.8016 0.1120 0.6056  1 Te 1.86
O3 0.1619 0.5892 0.2500  1 B 1.38
O4 0.8381 0.4108 0.7500  1 B 1.38
F11 0.1182 0.6028 0.8908  1 Te 1.86
F12 0.4846 0.8818 0.6092  1 Te 1.86
F13 0.6028 0.4846 0.1092  1 Te 1.86
F14 0.2968 0.1634 0.2500  1 Te 1.85
F15 0.1120 0.3104 0.1056  1 Te 1.86
F16 0.1634 0.8666 0.7500  1 Te 1.85
Te2 0.6434 0.6440 0.2500  5 F 1.85-1.86, 1 O 1.91
F17 0.1120 0.3104 0.3944  1 Te 1.86
B1 0.6667 0.3333 0.7500  3 O 1.38
O5 0.5727 0.1619 0.7500  1 B 1.38
F18 0.8016 0.1120 0.8944  1 Te 1.86
Te3 0.6440 0.0006 0.7500  5 F 1.85-1.86, 1 O 1.91
F19 0.3972 0.5154 0.8908  1 Te 1.86
Te4 0.9994 0.6434 0.7500  5 F 1.85-1.86, 1 O 1.91
F20 0.5154 0.1182 0.1092  1 Te 1.86
F21 0.1984 0.8880 0.3944  1 Te 1.86
Te5 0.0006 0.3566 0.2500  5 F 1.85-1.86, 1 O 1.91
F22 0.7032 0.8366 0.7500  1 Te 1.85
F23 0.4846 0.8818 0.8908  1 Te 1.86
Te6 0.3566 0.3560 0.7500  5 F 1.85-1.86, 1 O 1.91
F24 0.1984 0.8880 0.1056  1 Te 1.86
B2 0.3333 0.6667 0.2500  3 O 1.38
F25 0.1334 0.2968 0.7500  1 Te 1.85
O6 0.4108 0.5727 0.2500  1 B 1.38
F26 0.6896 0.8016 0.1056  1 Te 1.86
F27 0.8666 0.7032 0.2500  1 Te 1.85
F28 0.8818 0.3972 0.3908  1 Te 1.86
F29 0.8880 0.6896 0.6056  1 Te 1.86
F30 0.3972 0.5154 0.6092  1 Te 1.86

N(E_F) = 0.00 states/eV per cell
Theoretical density = 3.5 g cm⁻³
Raw total energy = -10.73 eV per atom
E_form (uncorrected) = -45.07 eV/f.u.



(5)
First-principles (meta-GGA SCAN) data for a PBEsol-optimized structure of TiBO2F, as listed in the Alexandria database.

abc: 3.8105 3.8105 3.8918
angles: 90.00 90.00 90.00
Closest atoms and distances in Å follow each position.
Sites, in units of the cell vectors:
F1 0.0000 0.0000 0.5000  2 Ti 1.95
O1 0.5000 0.0000 0.0000  2 Ti 1.91
Ti1 0.0000 0.0000 0.0000  4 O 1.91, 2 F 1.95
B1 0.5000 0.5000 0.5000  4 F 2.69, 8 O 2.72
O2 0.0000 0.5000 0.0000  2 Ti 1.91

N(E_F) = 0.00 states/eV per cell
Theoretical density = 3.2 g cm⁻³
Raw total energy = -9.38 eV per atom
E_form (uncorrected) = -7.45 eV/f.u.



(6)
First-principles (meta-GGA SCAN) data for a PBEsol-optimized structure of ZnB2OF, as listed in the Alexandria database.

abc: 3.6478 4.1259 4.1259
angles: 90.00 90.00 90.00
Closest atoms and distances in Å follow each position.
Sites, in units of the cell vectors:
Zn1 0.0000 0.0000 0.0000  2 O 1.82
B1 0.0000 0.5000 0.0000  2 Zn 2.06
O1 0.5000 0.0000 0.0000  2 Zn 1.82
F1 0.5000 0.5000 0.5000  8 B 2.75, 4 O 2.92
B2 0.0000 0.0000 0.5000  2 Zn 2.06

N(E_F) = 2.37 states/eV per cell
Theoretical density = 3.3 g cm⁻³
Raw total energy = -6.56 eV per atom
E_form (uncorrected) = 5.36 eV/f.u.



(7)
First-principles (meta-GGA SCAN) data for a PBEsol-optimized structure of ZrBO2F, as listed in the Alexandria database.

abc: 4.0860 4.0860 4.1156
angles: 90.00 90.00 90.00
Closest atoms and distances in Å follow each position.
Sites, in units of the cell vectors:
B1 0.5000 0.5000 0.5000  4 F 2.89, 8 O 2.90
F1 0.0000 0.0000 0.5000  2 Zr 2.06
Zr1 0.0000 0.0000 0.0000  4 O 2.04, 2 F 2.06
O1 0.5000 0.0000 0.0000  2 Zr 2.04
O2 0.0000 0.5000 0.0000  2 Zr 2.04

Theoretical density = 3.7 g cm⁻³
Raw total energy = -12.51 eV per atom
E_form (uncorrected) = -8.43 eV/f.u.



(8)
First-principles (meta-GGA SCAN) data for a PBEsol-optimized structure of B3OsF, as listed in the Alexandria database.

abc: 3.5204 3.5204 3.5204
angles: 90.00 90.00 90.00
Closest atoms and distances in Å follow each position.
Sites, in units of the cell vectors:
B1 0.0000 0.0000 0.5000  2 F 1.76
F1 0.0000 0.0000 0.0000  6 B 1.76
Os1 0.5000 0.5000 0.5000  12 B 2.49
B2 0.5000 0.0000 0.0000  2 F 1.76
B3 0.0000 0.5000 0.0000  2 F 1.76

N(E_F) = 3.43 states/eV per cell
Theoretical density = 9.2 g cm⁻³
Raw total energy = -17.87 eV per atom
E_form (uncorrected) = 8.35 eV/f.u.